1.
VASP calculation (PBE) on a relaxed structure of CaPm2SmSe4.

a b c (Å): 4.1649 7.2612 7.2737
angles (deg): 109.08 90.00 90.00
Sites, in units of the cell vectors:
Sm: 0.5000 0.5000 0.0000
Se: 0.5000 0.7533 0.7547
Se: 0.0000 0.7514 0.2458
Se: 0.5000 0.2467 0.2453
Se: 0.0000 0.2486 0.7542
Pm: 0.0000 0.5000 0.5000
Pm: 0.5000 0.0000 0.5000
Ca: 0.0000 0.0000 0.0000

SG: P2/m, No. 10
ρ in Mg/m³: 6.36
Magnetization in μB/cell: 0.000



2.
VASP calculation (PBE) on a relaxed structure of Ca2PmSm3Se6.

a b c (Å): 7.2235 7.2235 7.2906
angles (deg): 99.52 99.52 120.09
Sites, in units of the cell vectors:
Se: 0.7463 0.7463 0.2496
Se: 0.0824 0.4193 0.2469
Se: 0.9176 0.5807 0.7531
Se: 0.2537 0.2537 0.7504
Se: 0.5807 0.9176 0.7531
Se: 0.4193 0.0824 0.2469
Sm: 0.1676 0.8324 0.5000
Sm: 0.5000 0.5000 0.5000
Sm: 0.8324 0.1676 0.5000
Ca: 0.3330 0.6670 0.0000
Ca: 0.6670 0.3330 0.0000
Pm: 0.0000 0.0000 0.0000

SG: C2/m, No. 12
ρ in Mg/m³: 6.15
Magnetization in μB/cell: 0.000



3.
VASP calculation (PBE) on a relaxed structure of CaPmSm2Se4.

a b c (Å): 4.1593 7.2504 7.2615
angles (deg): 70.91 90.00 90.00
Sites, in units of the cell vectors:
Pm: 0.5000 0.5000 0.0000
Se: 0.5000 0.7481 0.2533
Se: 0.5000 0.2519 0.7467
Se: 0.0000 0.7492 0.7464
Se: 0.0000 0.2508 0.2536
Sm: 0.0000 0.0000 0.0000
Sm: 0.5000 0.0000 0.5000
Ca: 0.0000 0.5000 0.5000

SG: P2/m, No. 10
ρ in Mg/m³: 6.43
Magnetization in μB/cell: 0.000



4.
VASP calculation (PBE) on a relaxed structure of Ca3Pm2SmSe6.

a b c (Å): 7.2105 7.2105 7.3511
angles (deg): 99.44 99.44 119.95
Sites, in units of the cell vectors:
Se: 0.2474 0.2474 0.7461
Se: 0.0845 0.4166 0.2537
Se: 0.9155 0.5834 0.7463
Se: 0.5834 0.9155 0.7463
Se: 0.4166 0.0845 0.2537
Se: 0.7526 0.7526 0.2539
Pm: 0.6665 0.3335 0.0000
Pm: 0.3335 0.6665 0.0000
Sm: 0.0000 0.0000 0.0000
Ca: 0.1670 0.8330 0.5000
Ca: 0.5000 0.5000 0.5000
Ca: 0.8330 0.1670 0.5000

SG: C2/m, No. 12
ρ in Mg/m³: 5.49
Magnetization in μB/cell: 0.000



5.
VASP calculation (PBE) on a relaxed structure of CaPm4SmSe8.

a b c (Å): 8.6468 8.6468 8.6378
angles (deg): 59.97 59.97 60.00
Sites, in units of the cell vectors:
Se: 0.7590 0.2252 0.2567
Se: 0.2417 0.2417 0.2750
Se: 0.7590 0.7590 0.2567
Se: 0.2408 0.2408 0.7429
Se: 0.2408 0.7755 0.7429
Se: 0.7580 0.7580 0.7261
Se: 0.2252 0.7590 0.2567
Se: 0.7755 0.2408 0.7429
Pm: 0.4938 0.0021 0.5021
Pm: 0.0021 0.4938 0.5021
Pm: 0.0021 0.0021 0.5021
Pm: 0.6248 0.6248 0.1256
Sm: 0.0021 0.0021 0.9936
Ca: 0.3751 0.3751 0.8747

SG: R3m, No. 160
ρ in Mg/m³: 5.10
Magnetization in μB/cell: 0.000



6.
VASP calculation (PBE) on a relaxed structure of Ca2PmSnSe4.

a b c (Å): 4.2100 7.3862 7.3274
angles (deg): 109.31 90.00 90.00
Sites, in units of the cell vectors:
Se: 0.5000 0.7456 0.7465
Se: 0.5000 0.2544 0.2535
Se: 0.0000 0.7502 0.2532
Se: 0.0000 0.2498 0.7468
Sn: 0.0000 0.0000 0.0000
Ca: 0.0000 0.5000 0.5000
Ca: 0.5000 0.0000 0.5000
Pm: 0.5000 0.5000 0.0000

SG: P2/m, No. 10
ρ in Mg/m³: 5.09
Magnetization in μB/cell: 0.000



7.
VASP calculation (PBE) on a relaxed structure of SrCa2PmSe4.

a b c (Å): 4.2455 7.4025 7.3692
angles (deg): 109.34 90.00 90.00
Sites, in units of the cell vectors:
Pm: 0.5000 0.5000 0.0000
Se: 0.0000 0.2541 0.7452
Se: 0.0000 0.7459 0.2548
Se: 0.5000 0.2599 0.2585
Se: 0.5000 0.7401 0.7415
Ca: 0.0000 0.5000 0.5000
Ca: 0.5000 0.0000 0.5000
Sr: 0.0000 0.0000 0.0000

SG: P2/m, No. 10
ρ in Mg/m³: 4.78
Magnetization in μB/cell: 0.000



8.
VASP calculation (PBE) on a relaxed structure of Sr2CaPmSe4.

a b c (Å): 4.2997 7.4690 7.5084
angles (deg): 109.31 90.00 90.00
Sites, in units of the cell vectors:
Sr: 0.0000 0.5000 0.5000
Sr: 0.5000 0.0000 0.5000
Se: 0.5000 0.7542 0.7641
Se: 0.0000 0.7457 0.2369
Se: 0.5000 0.2458 0.2359
Se: 0.0000 0.2543 0.7631
Ca: 0.0000 0.0000 0.0000
Pm: 0.5000 0.5000 0.0000

SG: P2/m, No. 10
ρ in Mg/m³: 4.93
Magnetization in μB/cell: 0.000



9.
VASP calculation (PBE) on a relaxed structure of Ca4TbPm3Se8.

a b c (Å): 8.3043 8.4320 8.3044
angles (deg): 119.50 120.00 90.00
Sites, in units of the cell vectors:
Se: 0.7516 0.2484 0.5033
Se: 0.7516 0.2484 0.9967
Se: 0.7517 0.7549 0.5033
Se: 0.2484 0.7516 0.4967
Se: 0.2451 0.2484 0.9967
Se: 0.2484 0.7516 0.0033
Se: 0.2483 0.2451 0.4967
Se: 0.7549 0.7516 0.0033
Ca: 0.5000 0.0000 0.5000
Ca: 0.0000 0.0000 0.0000
Ca: 0.5000 0.0000 0.0000
Ca: 0.0000 0.0000 0.5000
Pm: 0.5000 0.5000 0.5000
Pm: 0.5000 0.5000 0.0000
Pm: 0.0000 0.5000 0.5000
Tb: 0.0000 0.5000 0.0000

SG: R-3m, No. 166
ρ in Mg/m³: 5.56
Magnetization in μB/cell: 0.000



10.
VASP calculation (PBE) on a relaxed structure of CaTb2Pm3Se6.

a b c (Å): 4.1330 8.3799 9.3114
angles (deg): 103.37 102.82 90.00
Sites, in units of the cell vectors:
Se: 0.6648 0.0876 0.3296
Se: 0.9969 0.7536 0.9938
Se: 0.0031 0.2464 0.0062
Se: 0.3326 0.4224 0.6651
Se: 0.6674 0.5776 0.3349
Se: 0.3352 0.9124 0.6704
Tb: 0.1689 0.3380 0.3377
Tb: 0.8311 0.6620 0.6623
Pm: 0.8333 0.1713 0.6666
Pm: 0.5000 0.5000 0.0000
Pm: 0.1667 0.8287 0.3334
Ca: 0.5000 0.0000 0.0000

SG: C2/m, No. 12
ρ in Mg/m³: 6.89
Magnetization in μB/cell: 0.000



11.
VASP calculation (PBE) on a relaxed structure of CaTbPm2Se4.

a b c (Å): 4.1402 7.2028 7.2593
angles (deg): 109.04 90.00 90.00
Sites, in units of the cell vectors:
Ca: 0.0000 0.0000 0.0000
Se: 0.0000 0.7469 0.2410
Se: 0.5000 0.2487 0.2425
Se: 0.0000 0.2531 0.7590
Se: 0.5000 0.7513 0.7575
Pm: 0.5000 0.0000 0.5000
Pm: 0.0000 0.5000 0.5000
Tb: 0.5000 0.5000 0.0000

SG: P2/m, No. 10
ρ in Mg/m³: 6.53
Magnetization in μB/cell: 0.000



12.
VASP calculation (PBE) on a relaxed structure of Ca3Tb2PmSe6.

a b c (Å): 7.1605 7.1605 7.2849
angles (deg): 99.46 99.46 119.94
Sites, in units of the cell vectors:
Se: 0.5780 0.9167 0.7504
Se: 0.2559 0.2559 0.7510
Se: 0.4220 0.0833 0.2496
Se: 0.7441 0.7441 0.2490
Se: 0.9167 0.5780 0.7504
Se: 0.0833 0.4220 0.2496
Tb: 0.6671 0.3329 0.0000
Tb: 0.3329 0.6671 0.0000
Pm: 0.0000 0.0000 0.0000
Ca: 0.8349 0.1651 0.5000
Ca: 0.5000 0.5000 0.5000
Ca: 0.1651 0.8349 0.5000

SG: C2/m, No. 12
ρ in Mg/m³: 5.74
Magnetization in μB/cell: 0.000



13.
VASP calculation (PBE) on a relaxed structure of Ca3Tb3PmSe8.

a b c (Å): 8.2500 8.2497 8.3416
angles (deg): 119.65 90.00 120.00
Sites, in units of the cell vectors:
Se: 0.2520 0.5040 0.7467
Se: 0.7487 0.4974 0.7459
Se: 0.2513 0.5026 0.2541
Se: 0.7482 0.0055 0.2537
Se: 0.7480 0.4960 0.2533
Se: 0.7427 0.9945 0.7463
Se: 0.2573 0.0055 0.2537
Se: 0.2518 0.9945 0.7463
Tb: 0.5000 0.5000 0.5000
Tb: 0.0000 0.5000 0.5000
Tb: 0.5000 0.0000 0.5000
Pm: 0.0000 0.0000 0.5000
Ca: 0.0000 0.5000 0.0000
Ca: 0.0000 0.0000 0.0000
Ca: 0.5000 0.5000 0.0000

SG: R-3m, No. 166
ρ in Mg/m³: 5.65
Magnetization in μB/cell: 0.000



14.
VASP calculation (PBE) on a relaxed structure of CaTb4PmSe8.

a b c (Å): 8.5011 8.5011 8.5395
angles (deg): 60.15 60.15 60.00
Sites, in units of the cell vectors:
Se: 0.7582 0.7582 0.7254
Se: 0.7773 0.2440 0.7347
Se: 0.7542 0.7542 0.2630
Se: 0.2440 0.2440 0.7347
Se: 0.2400 0.2400 0.2799
Se: 0.2285 0.7542 0.2630
Se: 0.7542 0.2285 0.2630
Se: 0.2440 0.7773 0.7347
Ca: 0.3742 0.3742 0.8774
Tb: 0.4937 0.0020 0.5023
Tb: 0.0020 0.0020 0.5023
Tb: 0.6255 0.6255 0.1234
Tb: 0.0020 0.4937 0.5023
Pm: 0.0020 0.0020 0.9940

SG: R3m, No. 160
ρ in Mg/m³: 5.51
Magnetization in μB/cell: 0.000



15.
VASP calculation (PBE) on a relaxed structure of Ca3TbPm2Se6.

a b c (Å): 7.1908 7.1908 7.3206
angles (deg): 99.45 99.45 119.94
Sites, in units of the cell vectors:
Ca: 0.1682 0.8318 0.5000
Ca: 0.8318 0.1682 0.5000
Ca: 0.5000 0.5000 0.5000
Pm: 0.6661 0.3339 0.0000
Pm: 0.3339 0.6661 0.0000
Se: 0.5882 0.9164 0.7484
Se: 0.7565 0.7565 0.2524
Se: 0.4118 0.0836 0.2516
Se: 0.2435 0.2435 0.7476
Se: 0.0836 0.4118 0.2516
Se: 0.9164 0.5882 0.7484
Tb: 0.0000 0.0000 0.0000

SG: C2/m, No. 12
ρ in Mg/m³: 5.59
Magnetization in μB/cell: 0.000



16.
VASP calculation (PBE) on a relaxed structure of Ca3TbPm4Se8.

a b c (Å): 8.3189 8.4046 8.3186
angles (deg): 119.65 120.00 90.00
Sites, in units of the cell vectors:
Pm: 0.5000 0.0000 0.0000
Pm: 0.5000 0.0000 0.5000
Pm: 0.0000 0.0000 0.5000
Pm: 0.0000 0.0000 0.0000
Se: 0.2468 0.7427 0.9957
Se: 0.7484 0.7454 0.4967
Se: 0.2512 0.2573 0.0043
Se: 0.7532 0.2573 0.0043
Se: 0.7530 0.2573 0.5059
Se: 0.7488 0.7427 0.9957
Se: 0.2470 0.7427 0.4941
Se: 0.2516 0.2546 0.5033
Tb: 0.0000 0.5000 0.0000
Ca: 0.5000 0.5000 0.0000
Ca: 0.0000 0.5000 0.5000
Ca: 0.5000 0.5000 0.5000

SG: R-3m, No. 166
ρ in Mg/m³: 5.99
Magnetization in μB/cell: 0.000



17.
VASP calculation (PBE) on a relaxed structure of CaTbPm4Se8.

a b c (Å): 8.6327 8.6327 8.6005
angles (deg): 59.88 59.88 60.00
Sites, in units of the cell vectors:
Se: 0.7577 0.7577 0.7270
Se: 0.2382 0.7766 0.7469
Se: 0.2382 0.2382 0.7469
Se: 0.7766 0.2382 0.7469
Se: 0.2236 0.7619 0.2526
Se: 0.2418 0.2418 0.2746
Se: 0.7619 0.2236 0.2526
Se: 0.7619 0.7619 0.2526
Pm: 0.0021 0.4939 0.5020
Pm: 0.4939 0.0021 0.5020
Pm: 0.0021 0.0021 0.5020
Pm: 0.6243 0.6243 0.1270
Ca: 0.3754 0.3754 0.8738
Tb: 0.0023 0.0023 0.9932

SG: R3m, No. 160
ρ in Mg/m³: 5.18
Magnetization in μB/cell: 0.000



18.
VASP calculation (PBE) on a relaxed structure of Ca2TbPm3Se6.

a b c (Å): 7.1924 7.1924 7.3115
angles (deg): 99.45 99.45 120.07
Sites, in units of the cell vectors:
Pm: 0.1704 0.8296 0.5000
Pm: 0.5000 0.5000 0.5000
Pm: 0.8296 0.1704 0.5000
Se: 0.0804 0.4119 0.2408
Se: 0.7509 0.7509 0.2463
Se: 0.2491 0.2491 0.7537
Se: 0.9196 0.5881 0.7592
Se: 0.4119 0.0804 0.2408
Se: 0.5881 0.9196 0.7592
Ca: 0.6666 0.3334 0.0000
Ca: 0.3334 0.6666 0.0000
Tb: 0.0000 0.0000 0.0000

SG: C2/m, No. 12
ρ in Mg/m³: 6.17
Magnetization in μB/cell: 0.000



19.
VASP calculation (PBE) on a relaxed structure of Ca3Pm2ThSe6.

a b c (Å): 4.1393 8.5095 9.4602
angles (deg): 104.88 102.64 90.00
Sites, in units of the cell vectors:
Pm: 0.1634 0.3261 0.3267
Pm: 0.8366 0.6739 0.6733
Se: 0.3326 0.4168 0.6652
Se: 0.0031 0.7452 0.0061
Se: 0.6686 0.0777 0.3373
Se: 0.9969 0.2548 0.9939
Se: 0.6674 0.5832 0.3348
Se: 0.3314 0.9223 0.6627
Ca: 0.8328 0.1693 0.6656
Ca: 0.1672 0.8307 0.3344
Ca: 0.5000 0.5000 0.0000
Th: 0.5000 0.0000 0.0000

SG: C2/m, No. 12
ρ in Mg/m³: 5.91
Magnetization in μB/cell: 0.000



20.
VASP calculation (PBE) on a relaxed structure of Ca2PmThSe4.

a b c (Å): 4.1243 7.1609 7.4591
angles (deg): 108.53 90.00 90.00
Sites, in units of the cell vectors:
Th: 0.5000 0.5000 0.0000
Pm: 0.0000 0.0000 0.0000
Se: 0.0000 0.7528 0.2584
Se: 0.5000 0.2522 0.2558
Se: 0.5000 0.7478 0.7442
Se: 0.0000 0.2472 0.7416
Ca: 0.0000 0.5000 0.5000
Ca: 0.5000 0.0000 0.5000

SG: P2/m, No. 10
ρ in Mg/m³: 6.15
Magnetization in μB/cell: 0.000



21.
VASP calculation (PBE) on a relaxed structure of CaPm2Tl3Se6.

a b c (Å): 7.4542 7.4542 7.9041
angles (deg): 99.01 99.01 120.00
Sites, in units of the cell vectors:
Se: 0.0719 0.4097 0.2159
Se: 0.2663 0.2663 0.7860
Se: 0.9281 0.5903 0.7841
Se: 0.4097 0.0719 0.2159
Se: 0.5903 0.9281 0.7841
Se: 0.7337 0.7337 0.2140
Tl: 0.5000 0.5000 0.5000
Tl: 0.1660 0.8340 0.5000
Tl: 0.8340 0.1660 0.5000
Ca: 0.0000 0.0000 0.0000
Pm: 0.6668 0.3332 0.0000
Pm: 0.3332 0.6668 0.0000

SG: C2/m, No. 12
ρ in Mg/m³: 6.51
Magnetization in μB/cell: 0.000



Number 1: final energy -45.08 eV/cell. Number 2: final energy -66.28 eV/cell. Number 3: final energy -45.01 eV/cell. Number 4: final energy -63.98 eV/cell. Number 5: final energy -78.85 eV/cell. Number 6: final energy -38.82 eV/cell. Number 7: final energy -40.02 eV/cell. Number 8: final energy -39.83 eV/cell. Number 9: final energy -85.16 eV/cell. Number 10: final energy -68.51 eV/cell. Number 11: final energy -44.91 eV/cell. Number 12: final energy -63.61 eV/cell. Number 13: final energy -81.25 eV/cell. Number 14: final energy -78.39 eV/cell. Number 15: final energy -63.82 eV/cell. Number 16: final energy -87.57 eV/cell. Number 17: final energy -78.77 eV/cell. Number 18: final energy -66.24 eV/cell. Number 19: final energy -65.81 eV/cell. Number 20: final energy -44.49 eV/cell. Number 21: final energy -54.78 eV/cell.